Entry 1:
# MnHPdAu | the Alexandria database | PBE-GGA | optimized geometry
data_MnHPdAu
_space_group_name_H-M_alt 'P 1'
_space_group_IT_number 1
_cell_length_a 2.8992
_cell_length_b 2.8992
_cell_length_c 6.9998
_cell_angle_alpha 102.08
_cell_angle_beta 102.08
_cell_angle_gamma 60.51
loop_
_space_group_symop_operation_xyz
'x,y,z'
loop_
_atom_site_label
_atom_site_type_symbol
_atom_site_fract_x
_atom_site_fract_y
_atom_site_fract_z
_atom_site_occupancy
Mn1 Mn 0.0000 0.0000 0.0000 1
H1 H 0.3716 0.3716 0.1071 1
Pd1 Pd 0.7741 0.7741 0.3257 1
Au1 Au 0.5543 0.5543 0.6744 1
# Excess energy over the best structure of this formula in the dataset, meV/atom: 69
# Size of the total moment, μB per cell: 3.8
# Calculated total energy, eV/atom: -5.272

=====

Entry 2:
# MnHPdAu | the Alexandria database | PBE-GGA | optimized geometry
data_MnHPdAu
_space_group_name_H-M_alt 'P 1'
_space_group_IT_number 1
_cell_length_a 2.9437
_cell_length_b 2.9437
_cell_length_c 6.7383
_cell_angle_alpha 90.00
_cell_angle_beta 90.00
_cell_angle_gamma 120.00
loop_
_space_group_symop_operation_xyz
'x,y,z'
loop_
_atom_site_label
_atom_site_type_symbol
_atom_site_fract_x
_atom_site_fract_y
_atom_site_fract_z
_atom_site_occupancy
Mn1 Mn 0.0000 0.0000 0.0000 1
H1 H 0.6667 0.3333 0.1832 1
Pd1 Pd 0.3333 0.6667 0.3239 1
Au1 Au 0.6667 0.3333 0.6786 1
# Excess energy over the best structure of this formula in the dataset, meV/atom: 77
# Size of the total moment, μB per cell: 4.0
# Calculated total energy, eV/atom: -5.263